# LaPr5In2 PBE-GGA optimized geometry
data_LaPr5In2
_space_group_name_H-M_alt 'P 1'
_space_group_IT_number 1
_cell_length_a 3.772
_cell_length_b 11.075
_cell_length_c 12.867
_cell_angle_alpha 90.00
_cell_angle_beta 90.00
_cell_angle_gamma 90.00
loop_
_space_group_symop_operation_xyz
'x,y,z'
loop_
_atom_site_label
_atom_site_fract_x
_atom_site_fract_y
_atom_site_fract_z
La1 0.000 0.000 0.000
La2 0.500 0.500 0.500
Pr1 0.000 0.221 0.360
Pr2 0.000 0.221 0.640
Pr3 0.000 0.500 0.000
Pr4 0.000 0.779 0.360
Pr5 0.000 0.779 0.640
Pr6 0.500 0.000 0.500
Pr7 0.500 0.279 0.140
Pr8 0.500 0.279 0.860
Pr9 0.500 0.721 0.140
Pr10 0.500 0.721 0.860
In1 0.000 0.500 0.270
In2 0.000 0.500 0.730
In3 0.500 0.000 0.230
In4 0.500 0.000 0.770
# **V**: 33.6 Å³/atom
# **Calculated density**: 6.630 Mg/m³
# **E_form**: -0.1832 eV/atom
# **SG**: Immm (71)
# **Magnetization**: 0.000 Bohr magnetons per cell
# **Polymorph energy (0 for the lowest one)**: 0.79 eV per formula unit
# **Crystal system**: orthorhombic

=====

# La3PrIn4 PBE-GGA optimized geometry
data_La3PrIn4
_space_group_name_H-M_alt 'P 1'
_space_group_IT_number 1
_cell_length_a 3.661
_cell_length_b 7.409
_cell_length_c 19.456
_cell_angle_alpha 90.00
_cell_angle_beta 90.00
_cell_angle_gamma 90.00
loop_
_space_group_symop_operation_xyz
'x,y,z'
loop_
_atom_site_label
_atom_site_fract_x
_atom_site_fract_y
_atom_site_fract_z
La1 0.000 0.000 0.000
La2 0.000 0.500 0.216
La3 0.000 0.500 0.784
La4 0.500 0.000 0.284
La5 0.500 0.000 0.716
La6 0.500 0.500 0.500
Pr1 0.000 0.000 0.500
Pr2 0.500 0.500 0.000
In1 0.000 0.294 0.374
In2 0.000 0.294 0.626
In3 0.000 0.706 0.374
In4 0.000 0.706 0.626
In5 0.500 0.206 0.126
In6 0.500 0.206 0.874
In7 0.500 0.794 0.126
In8 0.500 0.794 0.874
# **V**: 33.0 Å³/atom
# **Calculated density**: 6.398 Mg/m³
# **E_form**: -0.3309 eV/atom
# **SG**: Immm (71)
# **Magnetization**: 0.007 Bohr magnetons per cell
# **Polymorph energy (0 for the lowest one)**: 1.45 eV per formula unit
# **Crystal system**: orthorhombic

=====

# La3Pr8In2 PBE-GGA optimized geometry
data_La3Pr8In2
_space_group_name_H-M_alt 'P 1'
_space_group_IT_number 1
_cell_length_a 12.771
_cell_length_b 12.771
_cell_length_c 12.771
_cell_angle_alpha 30.18
_cell_angle_beta 30.18
_cell_angle_gamma 30.18
loop_
_space_group_symop_operation_xyz
'x,y,z'
loop_
_atom_site_label
_atom_site_fract_x
_atom_site_fract_y
_atom_site_fract_z
La1 0.000 0.000 0.000
La2 0.191 0.191 0.191
La3 0.809 0.809 0.809
Pr1 0.229 0.718 0.718
Pr2 0.282 0.282 0.771
Pr3 0.282 0.771 0.282
Pr4 0.285 0.285 0.285
Pr5 0.715 0.715 0.715
Pr6 0.718 0.229 0.718
Pr7 0.718 0.718 0.229
Pr8 0.771 0.282 0.282
In1 0.370 0.370 0.370
In2 0.630 0.630 0.630
# **V**: 35.9 Å³/atom
# **Calculated density**: 6.316 Mg/m³
# **E_form**: 0.0804 eV/atom
# **SG**: R-3m (166)
# **Magnetization**: 0.000 Bohr magnetons per cell
# **Crystal system**: trigonal

=====

# La4Pr3In PBE-GGA optimized geometry
data_La4Pr3In
_space_group_name_H-M_alt 'P 1'
_space_group_IT_number 1
_cell_length_a 11.764
_cell_length_b 7.336
_cell_length_c 6.354
_cell_angle_alpha 90.00
_cell_angle_beta 90.00
_cell_angle_gamma 90.00
loop_
_space_group_symop_operation_xyz
'x,y,z'
loop_
_atom_site_label
_atom_site_fract_x
_atom_site_fract_y
_atom_site_fract_z
La1 0.000 0.116 0.000
La2 0.000 0.869 0.560
La3 0.227 0.863 0.193
La4 0.273 0.137 0.693
La5 0.500 0.131 0.060
La6 0.500 0.884 0.500
La7 0.727 0.137 0.693
La8 0.773 0.863 0.193
Pr1 0.000 0.376 0.533
Pr2 0.244 0.384 0.206
Pr3 0.256 0.616 0.706
Pr4 0.500 0.624 0.033
Pr5 0.744 0.616 0.706
Pr6 0.756 0.384 0.206
In1 0.000 0.606 0.028
In2 0.500 0.394 0.528
# **V**: 34.3 Å³/atom
# **Calculated density**: 6.620 Mg/m³
# **E_form**: -0.1170 eV/atom
# **SG**: Pmn2_1 (31)
# **Magnetization**: 0.000 Bohr magnetons per cell
# **Polymorph energy (0 for the lowest one)**: 0.00 eV per formula unit
# **Crystal system**: orthorhombic

=====

# LaPr4In4 PBE-GGA optimized geometry
data_LaPr4In4
_space_group_name_H-M_alt 'P 1'
_space_group_IT_number 1
_cell_length_a 7.307
_cell_length_b 7.307
_cell_length_c 11.135
_cell_angle_alpha 90.00
_cell_angle_beta 90.00
_cell_angle_gamma 90.00
loop_
_space_group_symop_operation_xyz
'x,y,z'
loop_
_atom_site_label
_atom_site_fract_x
_atom_site_fract_y
_atom_site_fract_z
La1 0.250 0.750 0.250
La2 0.750 0.250 0.750
Pr1 0.025 0.250 0.174
Pr2 0.250 0.025 0.674
Pr3 0.250 0.475 0.674
Pr4 0.475 0.250 0.174
Pr5 0.525 0.750 0.826
Pr6 0.750 0.525 0.326
Pr7 0.750 0.975 0.326
Pr8 0.975 0.750 0.826
In1 0.024 0.250 0.472
In2 0.250 0.024 0.972
In3 0.250 0.476 0.972
In4 0.476 0.250 0.472
In5 0.524 0.750 0.528
In6 0.750 0.524 0.028
In7 0.750 0.976 0.028
In8 0.976 0.750 0.528
# **V**: 33.0 Å³/atom
# **Calculated density**: 6.489 Mg/m³
# **E_form**: -0.1871 eV/atom
# **SG**: P4_2/nmc (137)
# **Magnetization**: 0.000 Bohr magnetons per cell
# **Crystal system**: tetragonal

=====

# La3Pr5In PBE-GGA optimized geometry
data_La3Pr5In
_space_group_name_H-M_alt 'P 1'
_space_group_IT_number 1
_cell_length_a 9.832
_cell_length_b 9.832
_cell_length_c 9.832
_cell_angle_alpha 122.68
_cell_angle_beta 122.68
_cell_angle_gamma 85.41
loop_
_space_group_symop_operation_xyz
'x,y,z'
loop_
_atom_site_label
_atom_site_fract_x
_atom_site_fract_y
_atom_site_fract_z
La1 0.118 0.618 0.737
La2 0.250 0.250 0.000
La3 0.382 0.118 0.500
La4 0.618 0.882 0.500
La5 0.750 0.750 0.000
La6 0.882 0.382 0.263
Pr1 0.000 0.000 0.000
Pr2 0.061 0.165 0.500
Pr3 0.165 0.665 0.104
Pr4 0.335 0.439 0.500
Pr5 0.439 0.939 0.104
Pr6 0.500 0.500 0.000
Pr7 0.561 0.061 0.896
Pr8 0.665 0.561 0.500
Pr9 0.835 0.335 0.896
Pr10 0.939 0.835 0.500
In1 0.250 0.750 0.500
In2 0.750 0.250 0.500
# **V**: 35.7 Å³/atom
# **Calculated density**: 6.388 Mg/m³
# **E_form**: 0.1226 eV/atom
# **SG**: I4/mcm (140)
# **Magnetization**: 0.000 Bohr magnetons per cell
# **Crystal system**: tetragonal

=====

# La6Pr12In PBE-GGA optimized geometry
data_La6Pr12In
_space_group_name_H-M_alt 'P 1'
_space_group_IT_number 1
_cell_length_a 8.801
_cell_length_b 8.801
_cell_length_c 8.801
_cell_angle_alpha 89.22
_cell_angle_beta 89.22
_cell_angle_gamma 89.22
loop_
_space_group_symop_operation_xyz
'x,y,z'
loop_
_atom_site_label
_atom_site_fract_x
_atom_site_fract_y
_atom_site_fract_z
La1 0.209 0.764 0.594
La2 0.236 0.406 0.791
La3 0.406 0.791 0.236
La4 0.594 0.209 0.764
La5 0.764 0.594 0.209
La6 0.791 0.236 0.406
Pr1 0.030 0.935 0.285
Pr2 0.065 0.715 0.970
Pr3 0.137 0.475 0.332
Pr4 0.285 0.030 0.935
Pr5 0.332 0.137 0.475
Pr6 0.475 0.332 0.137
Pr7 0.525 0.668 0.863
Pr8 0.668 0.863 0.525
Pr9 0.715 0.970 0.065
Pr10 0.863 0.525 0.668
Pr11 0.935 0.285 0.030
Pr12 0.970 0.065 0.715
In1 0.500 0.500 0.500
# **V**: 35.9 Å³/atom
# **Calculated density**: 6.431 Mg/m³
# **E_form**: 0.0357 eV/atom
# **SG**: R-3 (148)
# **Magnetization**: 0.000 Bohr magnetons per cell
# **Crystal system**: trigonal

=====

# La3Pr7In2 PBE-GGA optimized geometry
data_La3Pr7In2
_space_group_name_H-M_alt 'P 1'
_space_group_IT_number 1
_cell_length_a 5.902
_cell_length_b 3.709
_cell_length_c 19.061
_cell_angle_alpha 90.00
_cell_angle_beta 93.58
_cell_angle_gamma 90.00
loop_
_space_group_symop_operation_xyz
'x,y,z'
loop_
_atom_site_label
_atom_site_fract_x
_atom_site_fract_y
_atom_site_fract_z
La1 0.000 0.000 0.000
La2 0.281 0.500 0.644
La3 0.719 0.500 0.356
Pr1 0.174 0.500 0.154
Pr2 0.241 0.000 0.466
Pr3 0.320 0.000 0.830
Pr4 0.500 0.500 0.000
Pr5 0.680 0.000 0.170
Pr6 0.759 0.000 0.534
Pr7 0.826 0.500 0.846
In1 0.208 0.000 0.297
In2 0.792 0.000 0.703
# **V**: 34.7 Å³/atom
# **Calculated density**: 6.511 Mg/m³
# **E_form**: -0.0644 eV/atom
# **SG**: P2/m (10)
# **Magnetization**: 0.000 Bohr magnetons per cell
# **Crystal system**: monoclinic

=====

# LaPr9In2 PBE-GGA optimized geometry
data_LaPr9In2
_space_group_name_H-M_alt 'P 1'
_space_group_IT_number 1
_cell_length_a 5.059
_cell_length_b 5.059
_cell_length_c 15.602
_cell_angle_alpha 90.00
_cell_angle_beta 90.00
_cell_angle_gamma 90.00
loop_
_space_group_symop_operation_xyz
'x,y,z'
loop_
_atom_site_label
_atom_site_fract_x
_atom_site_fract_y
_atom_site_fract_z
La1 0.000 0.000 0.000
Pr1 0.000 0.500 0.177
Pr2 0.000 0.500 0.500
Pr3 0.000 0.500 0.823
Pr4 0.500 0.000 0.177
Pr5 0.500 0.000 0.500
Pr6 0.500 0.000 0.823
Pr7 0.500 0.500 0.000
Pr8 0.500 0.500 0.341
Pr9 0.500 0.500 0.659
In1 0.000 0.000 0.339
In2 0.000 0.000 0.661
# **V**: 33.3 Å³/atom
# **Calculated density**: 6.807 Mg/m³
# **E_form**: -0.1694 eV/atom
# **SG**: P4/mmm (123)
# **Magnetization**: 0.000 Bohr magnetons per cell
# **Crystal system**: tetragonal

=====

# La2Pr5In4 PBE-GGA optimized geometry
data_La2Pr5In4
_space_group_name_H-M_alt 'P 1'
_space_group_IT_number 1
_cell_length_a 12.393
_cell_length_b 12.393
_cell_length_c 12.393
_cell_angle_alpha 163.07
_cell_angle_beta 135.83
_cell_angle_gamma 47.63
loop_
_space_group_symop_operation_xyz
'x,y,z'
loop_
_atom_site_label
_atom_site_fract_x
_atom_site_fract_y
_atom_site_fract_z
La1 0.115 0.115 0.000
La2 0.885 0.885 0.000
Pr1 0.000 0.500 0.500
Pr2 0.152 0.838 0.313
Pr3 0.475 0.162 0.313
Pr4 0.525 0.838 0.687
Pr5 0.848 0.162 0.687
In1 0.250 0.250 0.000
In2 0.328 0.000 0.328
In3 0.672 0.000 0.672
In4 0.750 0.750 0.000
# **V**: 35.0 Å³/atom
# **Calculated density**: 6.209 Mg/m³
# **E_form**: 0.1759 eV/atom
# **SG**: Immm (71)
# **Magnetization**: 0.000 Bohr magnetons per cell
# **Polymorph energy (0 for the lowest one)**: 5.31 eV per formula unit
# **Crystal system**: orthorhombic

=====

# La6Pr5In PBE-GGA optimized geometry
data_La6Pr5In
_space_group_name_H-M_alt 'P 1'
_space_group_IT_number 1
_cell_length_a 8.212
_cell_length_b 8.212
_cell_length_c 6.355
_cell_angle_alpha 97.20
_cell_angle_beta 97.20
_cell_angle_gamma 84.07
loop_
_space_group_symop_operation_xyz
'x,y,z'
loop_
_atom_site_label
_atom_site_fract_x
_atom_site_fract_y
_atom_site_fract_z
La1 0.086 0.404 0.252
La2 0.248 0.248 0.763
La3 0.404 0.086 0.252
La4 0.596 0.914 0.748
La5 0.752 0.752 0.237
La6 0.914 0.596 0.748
Pr1 0.160 0.840 0.500
Pr2 0.326 0.674 0.000
Pr3 0.500 0.500 0.500
Pr4 0.674 0.326 0.000
Pr5 0.840 0.160 0.500
In1 0.000 0.000 0.000
# **V**: 35.0 Å³/atom
# **Calculated density**: 6.532 Mg/m³
# **E_form**: -0.0606 eV/atom
# **SG**: C2/m (12)
# **Magnetization**: 0.000 Bohr magnetons per cell
# **Crystal system**: monoclinic

=====

# La4Pr3In PBE-GGA optimized geometry
data_La4Pr3In
_space_group_name_H-M_alt 'P 1'
_space_group_IT_number 1
_cell_length_a 10.242
_cell_length_b 7.223
_cell_length_c 7.325
_cell_angle_alpha 90.00
_cell_angle_beta 90.00
_cell_angle_gamma 90.00
loop_
_space_group_symop_operation_xyz
'x,y,z'
loop_
_atom_site_label
_atom_site_fract_x
_atom_site_fract_y
_atom_site_fract_z
La1 0.000 0.001 0.000
La2 0.000 0.499 0.498
La3 0.249 0.738 0.749
La4 0.251 0.262 0.249
La5 0.500 0.501 0.998
La6 0.500 0.999 0.500
La7 0.749 0.262 0.249
La8 0.751 0.738 0.749
Pr1 0.000 0.000 0.499
Pr2 0.250 0.270 0.749
Pr3 0.250 0.730 0.249
Pr4 0.500 0.000 0.999
Pr5 0.750 0.270 0.749
Pr6 0.750 0.730 0.249
In1 0.000 0.500 0.999
In2 0.500 0.500 0.499
# **V**: 33.9 Å³/atom
# **Calculated density**: 6.700 Mg/m³
# **E_form**: -0.1128 eV/atom
# **SG**: Pmn2_1 (31)
# **Magnetization**: 0.000 Bohr magnetons per cell
# **Polymorph energy (0 for the lowest one)**: 0.03 eV per formula unit
# **Crystal system**: orthorhombic